Entry from Alexandria: crystalline LaNiI2O at its relaxed geometry (PBE with a Hubbard U).

Summary:
* total DFT energy (no corrections): -4.03 eV per atom

a = 6.4908 Å, b = 6.4908 Å, c = 4.2941 Å
α = 90.00°, β = 90.00°, γ = 90.00°
Fractional coordinates of all 5 atoms:
La (0.0000, 0.0000, 0.0000)
Ni (0.5000, 0.5000, 0.5000)
I (0.0000, 0.5000, 0.0000)
I (0.5000, 0.0000, 0.0000)
O (0.0000, 0.0000, 0.5000)